# Zn3P4

A relaxed structure of Zn3P4 (PBE-GGA, Alexandria via LeMat-Bulk). Values from VASP.

```
&SYSTEM
  ibrav = 0, nat = 7, ntyp = 2
/
ATOMIC_SPECIES
Zn 65.41 Zn.upf
P 30.97 P.upf
ATOMIC_POSITIONS crystal
Zn 0.000 0.500 0.000
Zn 0.500 0.500 0.000
Zn 0.500 0.000 0.000
P 0.000 0.000 0.285
P 0.000 0.000 0.715
P 0.667 0.333 0.500
P 0.333 0.667 0.500
CELL_PARAMETERS angstrom
2.552 -4.420 0.000
2.552 4.420 0.000
0.000 0.000 4.910
```

Energy relative to the lowest polymorph listed for this composition   447.6 meV per atom
Formation energy from the elements   566 meV per atom
D(E_F)   2.4 states/eV/f.u.
SG   P6/mmm
Total magnetic moment   0.0 μB per formula unit

---

# AlSeCl2

A relaxed structure of AlSeCl2 (PBE-GGA, Alexandria via LeMat-Bulk). Values from VASP.

```
&SYSTEM
  ibrav = 0, nat = 4, ntyp = 3
/
ATOMIC_SPECIES
Al 26.98 Al.upf
Se 78.96 Se.upf
Cl 35.45 Cl.upf
ATOMIC_POSITIONS crystal
Al 0.751 0.751 0.751
Se 0.467 0.467 0.467
Cl 0.031 0.031 0.031
Cl 0.251 0.251 0.251
CELL_PARAMETERS angstrom
-6.903 2.428 -6.451
-8.324 -0.443 -5.067
-8.723 2.640 -3.480
```

Energy relative to the lowest polymorph listed for this composition   340.1 meV per atom
D(E_F)   2.4 states/eV/f.u.
SG   R3m
Formation energy (no corrections)   -0.5680 eV per atom
Total magnetic moment   0.8 μB per formula unit

---

# Ta6TiNb5

A relaxed structure of Ta6TiNb5 (PBE-GGA, Alexandria via LeMat-Bulk). Values from VASP.

```
&SYSTEM
  ibrav = 0, nat = 12, ntyp = 3
/
ATOMIC_SPECIES
Nb 92.91 Nb.upf
Ti 47.87 Ti.upf
Ta 180.95 Ta.upf
ATOMIC_POSITIONS crystal
Nb 0.500 0.168 0.832
Nb 0.000 0.332 0.668
Nb 0.500 0.500 0.500
Nb 0.000 0.668 0.332
Nb 0.500 0.832 0.168
Ti 0.000 0.000 0.000
Ta 0.251 0.084 0.417
Ta 0.749 0.583 0.916
Ta 0.745 0.244 0.244
Ta 0.255 0.756 0.756
Ta 0.251 0.417 0.084
Ta 0.749 0.916 0.583
CELL_PARAMETERS angstrom
4.496 -0.005 -1.307
-2.582 6.713 -0.540
-0.351 0.788 7.161
```

Formation energy from the elements   0 meV per atom
D(E_F)   18.9 states/eV/f.u.
SG   C2/m
Total magnetic moment   0.0 μB per formula unit

---

# Cd2FeAs

A relaxed structure of Cd2FeAs (PBE-GGA, Alexandria via LeMat-Bulk). Values from VASP.

```
&SYSTEM
  ibrav = 0, nat = 4, ntyp = 3
/
ATOMIC_SPECIES
As 74.92 As.upf
Cd 112.41 Cd.upf
Fe 55.84 Fe.upf
ATOMIC_POSITIONS crystal
As 0.750 0.750 0.750
Cd 0.995 0.995 0.995
Cd 0.505 0.505 0.505
Fe 0.250 0.250 0.250
CELL_PARAMETERS angstrom
9.502 -0.084 -0.049
9.041 2.926 -0.049
9.041 1.386 2.578
```

Formation energy from the elements   344 meV per atom
D(E_F)   1.9 states/eV/f.u.
SG   R-3m
Total magnetic moment   2.7 μB per formula unit

---

# BeIn2P

A relaxed structure of BeIn2P (PBE-GGA, Alexandria via LeMat-Bulk). Values from VASP.

```
&SYSTEM
  ibrav = 0, nat = 4, ntyp = 3
/
ATOMIC_SPECIES
P 30.97 P.upf
Be 9.01 Be.upf
In 114.82 In.upf
ATOMIC_POSITIONS crystal
P 0.000 0.574 0.572
Be 0.500 0.699 0.701
In 0.000 0.943 0.942
In 0.500 0.284 0.285
CELL_PARAMETERS angstrom
3.624 0.000 0.000
0.000 5.037 0.009
0.000 2.321 4.485
```

Energy relative to the lowest polymorph listed for this composition   0.0 meV per atom
Formation energy from the elements   105 meV per atom
D(E_F)   1.0 states/eV/f.u.
SG   Pm
Total magnetic moment   0.0 μB per formula unit

---

# ReAsSe

A relaxed structure of ReAsSe (PBE-GGA, Alexandria via LeMat-Bulk). Values from VASP.

```
&SYSTEM
  ibrav = 0, nat = 3, ntyp = 3
/
ATOMIC_SPECIES
Re 186.21 Re.upf
As 74.92 As.upf
Se 78.96 Se.upf
ATOMIC_POSITIONS crystal
Re 0.250 0.250 0.250
As 0.500 0.500 0.500
Se 0.000 0.000 0.000
CELL_PARAMETERS angstrom
4.295 0.000 0.000
2.148 3.720 0.000
2.148 1.240 3.507
```

D(E_F)   1.9 states/eV/f.u.
SG   F-43m
Formation energy (no corrections)   0.2820 eV per atom
Total magnetic moment   0.0 μB per formula unit